# 1
# Mg30MnFeO32 (GGA-PBEsol, relaxed)
# size of the total moment	5.1	μB/f.u.
# symmetry	P4/mmm
# E_form (uncorrected)	-2.620	eV per atom
data_Mg30MnFeO32
_cell_length_a 8.431
_cell_length_b 8.431
_cell_length_c 8.428
_cell_angle_alpha 90.00
_cell_angle_beta 90.00
_cell_angle_gamma 90.00
_space_group_name_H-M_alt 'P 1'
_space_group_IT_number 1
_space_group_name_Hall 'P 1'
loop_
_atom_site_label
_atom_site_type_symbol
_atom_site_fract_x
_atom_site_fract_y
_atom_site_fract_z
Mg1 Mg 0.000 0.500 0.000
Mg2 Mg 0.000 0.500 0.500
Mg3 Mg 0.500 0.000 0.000
Mg4 Mg 0.500 0.000 0.500
Mg5 Mg 0.500 0.500 0.000
Mg6 Mg 0.500 0.500 0.500
Mg7 Mg 0.000 0.249 0.252
Mg8 Mg 0.000 0.249 0.748
Mg9 Mg 0.000 0.751 0.252
Mg10 Mg 0.000 0.751 0.748
Mg11 Mg 0.500 0.250 0.250
Mg12 Mg 0.500 0.250 0.750
Mg13 Mg 0.500 0.750 0.250
Mg14 Mg 0.500 0.750 0.750
Mg15 Mg 0.249 0.000 0.252
Mg16 Mg 0.249 0.000 0.748
Mg17 Mg 0.250 0.500 0.250
Mg18 Mg 0.250 0.500 0.750
Mg19 Mg 0.751 0.000 0.252
Mg20 Mg 0.751 0.000 0.748
Mg21 Mg 0.750 0.500 0.250
Mg22 Mg 0.750 0.500 0.750
Mg23 Mg 0.250 0.250 0.000
Mg24 Mg 0.248 0.248 0.500
Mg25 Mg 0.250 0.750 0.000
Mg26 Mg 0.248 0.752 0.500
Mg27 Mg 0.750 0.250 0.000
Mg28 Mg 0.752 0.248 0.500
Mg29 Mg 0.750 0.750 0.000
Mg30 Mg 0.752 0.752 0.500
Mn1 Mn 0.000 0.000 0.000
Fe1 Fe 0.000 0.000 0.500
O1 O 0.254 0.000 0.000
O2 O 0.247 0.000 0.500
O3 O 0.250 0.500 0.000
O4 O 0.249 0.500 0.500
O5 O 0.746 0.000 0.000
O6 O 0.753 0.000 0.500
O7 O 0.750 0.500 0.000
O8 O 0.751 0.500 0.500
O9 O 0.250 0.250 0.250
O10 O 0.250 0.250 0.750
O11 O 0.250 0.750 0.250
O12 O 0.250 0.750 0.750
O13 O 0.750 0.250 0.250
O14 O 0.750 0.250 0.750
O15 O 0.750 0.750 0.250
O16 O 0.750 0.750 0.750
O17 O 0.000 0.000 0.257
O18 O 0.000 0.000 0.743
O19 O 0.000 0.500 0.252
O20 O 0.000 0.500 0.748
O21 O 0.500 0.000 0.252
O22 O 0.500 0.000 0.748
O23 O 0.500 0.500 0.250
O24 O 0.500 0.500 0.750
O25 O 0.000 0.254 0.000
O26 O 0.000 0.247 0.500
O27 O 0.000 0.746 0.000
O28 O 0.000 0.753 0.500
O29 O 0.500 0.250 0.000
O30 O 0.500 0.249 0.500
O31 O 0.500 0.750 0.000
O32 O 0.500 0.751 0.500

***

# 2
# YIrS2N (GGA-PBEsol, relaxed)
# excess energy over the best structure of this formula in the dataset	0.000	eV/atom
# size of the total moment	0.0	μB/f.u.
# symmetry	P4/mmm
# E_form (uncorrected)	-0.596	eV per atom
data_YIrS2N
_cell_length_a 3.691
_cell_length_b 4.815
_cell_length_c 4.815
_cell_angle_alpha 90.00
_cell_angle_beta 90.00
_cell_angle_gamma 90.00
_space_group_name_H-M_alt 'P 1'
_space_group_IT_number 1
_space_group_name_Hall 'P 1'
loop_
_atom_site_label
_atom_site_type_symbol
_atom_site_fract_x
_atom_site_fract_y
_atom_site_fract_z
Y1 Y 0.500 0.500 0.500
S1 S 0.000 0.000 0.500
S2 S 0.000 0.500 0.000
Ir1 Ir 0.000 0.000 0.000
N1 N 0.500 0.000 0.000

***

# 3
# MnFe5 (GGA-PBEsol, relaxed)
# energy of formation from the pure elements	-0.0119	eV per atom
# size of the total moment	0.0	μB/f.u.
# symmetry	Cm
data_MnFe5
_cell_length_a 2.431
_cell_length_b 4.548
_cell_length_c 5.702
_cell_angle_alpha 103.20
_cell_angle_beta 90.00
_cell_angle_gamma 105.50
_space_group_name_H-M_alt 'P 1'
_space_group_IT_number 1
_space_group_name_Hall 'P 1'
loop_
_atom_site_label
_atom_site_type_symbol
_atom_site_fract_x
_atom_site_fract_y
_atom_site_fract_z
Fe1 Fe 0.999 0.999 0.000
Fe2 Fe 0.667 0.334 0.333
Fe3 Fe 0.334 0.667 0.667
Fe4 Fe 0.389 0.779 0.278
Fe5 Fe 0.055 0.110 0.611
Mn1 Mn 0.722 0.444 0.945

***

# 4
# InP2Cl (GGA-PBEsol, relaxed)
# excess energy over the best structure of this formula in the dataset	0.000	eV/atom
# size of the total moment	0.0	μB/f.u.
# symmetry	R3m
# E_form (uncorrected)	-0.224	eV per atom
data_InP2Cl
_cell_length_a 3.355
_cell_length_b 3.355
_cell_length_c 9.962
_cell_angle_alpha 80.31
_cell_angle_beta 80.31
_cell_angle_gamma 60.00
_space_group_name_H-M_alt 'P 1'
_space_group_IT_number 1
_space_group_name_Hall 'P 1'
loop_
_atom_site_label
_atom_site_type_symbol
_atom_site_fract_x
_atom_site_fract_y
_atom_site_fract_z
Cl1 Cl 0.508 0.508 0.476
In1 In 0.239 0.239 0.282
P1 P 0.022 0.022 0.933
P2 P 0.730 0.730 0.809

***

# 5
# CaReNi (GGA-PBEsol, relaxed)
# energy of formation from the pure elements	0.3833	eV per atom
# size of the total moment	0.0	μB/f.u.
# symmetry	I4mm
data_CaReNi
_cell_length_a 2.802
_cell_length_b 2.802
_cell_length_c 6.522
_cell_angle_alpha 102.40
_cell_angle_beta 102.40
_cell_angle_gamma 90.00
_space_group_name_H-M_alt 'P 1'
_space_group_IT_number 1
_space_group_name_Hall 'P 1'
loop_
_atom_site_label
_atom_site_type_symbol
_atom_site_fract_x
_atom_site_fract_y
_atom_site_fract_z
Re1 Re 0.308 0.308 0.616
Ca1 Ca 0.004 0.004 0.009
Ni1 Ni 0.688 0.688 0.375

***

# 6
# Cr3GeSb (GGA-PBEsol, relaxed)
# size of the total moment	11.0	μB/f.u.
# symmetry	Pm-3m
# E_form (uncorrected)	0.860	eV per atom
data_Cr3GeSb
_cell_length_a 4.654
_cell_length_b 4.654
_cell_length_c 4.654
_cell_angle_alpha 90.00
_cell_angle_beta 90.00
_cell_angle_gamma 90.00
_space_group_name_H-M_alt 'P 1'
_space_group_IT_number 1
_space_group_name_Hall 'P 1'
loop_
_atom_site_label
_atom_site_type_symbol
_atom_site_fract_x
_atom_site_fract_y
_atom_site_fract_z
Sb1 Sb 0.500 0.500 0.500
Ge1 Ge 0.000 0.000 0.000
Cr1 Cr 0.000 0.500 0.000
Cr2 Cr 0.000 0.000 0.500
Cr3 Cr 0.500 0.000 0.000

***

# 7
# CrTcCl2 (GGA-PBEsol, relaxed)
# excess energy over the best structure of this formula in the dataset	0.343	eV/atom
# size of the total moment	3.1	μB/f.u.
# symmetry	R-3m
# E_form (uncorrected)	0.482	eV per atom
data_CrTcCl2
_cell_length_a 3.019
_cell_length_b 3.019
_cell_length_c 8.235
_cell_angle_alpha 79.44
_cell_angle_beta 79.44
_cell_angle_gamma 60.00
_space_group_name_H-M_alt 'P 1'
_space_group_IT_number 1
_space_group_name_Hall 'P 1'
loop_
_atom_site_label
_atom_site_type_symbol
_atom_site_fract_x
_atom_site_fract_y
_atom_site_fract_z
Cr1 Cr 0.000 0.000 0.000
Tc1 Tc 0.500 0.500 0.500
Cl1 Cl 0.906 0.906 0.281
Cl2 Cl 0.094 0.094 0.719

***

# 8
# KAsF6 (GGA-PBEsol, relaxed)
# size of the total moment	0.0	μB/f.u.
# symmetry	R-3m
# E_form (uncorrected)	-2.458	eV per atom
data_KAsF6
_cell_length_a 4.902
_cell_length_b 4.902
_cell_length_c 4.902
_cell_angle_alpha 98.19
_cell_angle_beta 98.19
_cell_angle_gamma 98.19
_space_group_name_H-M_alt 'P 1'
_space_group_IT_number 1
_space_group_name_Hall 'P 1'
loop_
_atom_site_label
_atom_site_type_symbol
_atom_site_fract_x
_atom_site_fract_y
_atom_site_fract_z
As1 As 0.000 0.000 0.000
K1 K 0.500 0.500 0.500
F1 F 0.922 0.255 0.255
F2 F 0.255 0.922 0.255
F3 F 0.255 0.255 0.922
F4 F 0.078 0.745 0.745
F5 F 0.745 0.078 0.745
F6 F 0.745 0.745 0.078

***

# 9
# Li3Mn4CoO8 (GGA-PBEsol, relaxed)
# size of the total moment	18.2	μB/f.u.
# symmetry	C2/m
# E_form (uncorrected)	-1.577	eV per atom
data_Li3Mn4CoO8
_cell_length_a 5.800
_cell_length_b 5.800
_cell_length_c 5.841
_cell_angle_alpha 90.93
_cell_angle_beta 119.35
_cell_angle_gamma 119.34
_space_group_name_H-M_alt 'P 1'
_space_group_IT_number 1
_space_group_name_Hall 'P 1'
loop_
_atom_site_label
_atom_site_type_symbol
_atom_site_fract_x
_atom_site_fract_y
_atom_site_fract_z
Li1 Li 0.000 0.000 0.500
Li2 Li 0.500 0.000 0.500
Li3 Li 0.500 0.500 0.500
Mn1 Mn 0.000 0.500 0.500
Mn2 Mn 0.000 0.000 0.000
Mn3 Mn 0.500 0.000 0.000
Mn4 Mn 0.000 0.500 0.000
Co1 Co 0.500 0.500 0.000
O1 O 0.536 0.250 0.786
O2 O 0.994 0.257 0.755
O3 O 0.498 0.761 0.755
O4 O 0.983 0.749 0.732
O5 O 0.017 0.251 0.268
O6 O 0.502 0.239 0.245
O7 O 0.006 0.743 0.245
O8 O 0.464 0.750 0.214

***

# 10
# BaMoRuI2 (GGA-PBEsol, relaxed)
# size of the total moment	2.3	μB/f.u.
# symmetry	P4/mmm
# E_form (uncorrected)	1.309	eV per atom
data_BaMoRuI2
_cell_length_a 5.236
_cell_length_b 5.236
_cell_length_c 5.895
_cell_angle_alpha 90.00
_cell_angle_beta 90.00
_cell_angle_gamma 90.00
_space_group_name_H-M_alt 'P 1'
_space_group_IT_number 1
_space_group_name_Hall 'P 1'
loop_
_atom_site_label
_atom_site_type_symbol
_atom_site_fract_x
_atom_site_fract_y
_atom_site_fract_z
I1 I 0.000 0.500 0.000
I2 I 0.500 0.000 0.000
Ru1 Ru 0.500 0.500 0.500
Mo1 Mo 0.000 0.000 0.000
Ba1 Ba 0.000 0.000 0.500

***

# 11
# LaAgP (GGA-PBEsol, relaxed)
# energy of formation from the pure elements	-0.8531	eV per atom
# size of the total moment	0.0	μB/f.u.
# symmetry	P-6m2
data_LaAgP
_cell_length_a 4.124
_cell_length_b 4.266
_cell_length_c 4.266
_cell_angle_alpha 120.00
_cell_angle_beta 90.00
_cell_angle_gamma 90.00
_space_group_name_H-M_alt 'P 1'
_space_group_IT_number 1
_space_group_name_Hall 'P 1'
loop_
_atom_site_label
_atom_site_type_symbol
_atom_site_fract_x
_atom_site_fract_y
_atom_site_fract_z
Ag1 Ag 0.500 0.000 0.000
La1 La 0.000 0.667 0.333
P1 P 0.500 0.333 0.667

***

# 12
# AlRh3N (GGA-PBEsol, relaxed)
# size of the total moment	0.0	μB/f.u.
# symmetry	Pm-3m
# E_form (uncorrected)	-0.202	eV per atom
data_AlRh3N
_cell_length_a 3.990
_cell_length_b 3.990
_cell_length_c 3.990
_cell_angle_alpha 90.00
_cell_angle_beta 90.00
_cell_angle_gamma 90.00
_space_group_name_H-M_alt 'P 1'
_space_group_IT_number 1
_space_group_name_Hall 'P 1'
loop_
_atom_site_label
_atom_site_type_symbol
_atom_site_fract_x
_atom_site_fract_y
_atom_site_fract_z
Rh1 Rh 0.000 0.500 0.000
Rh2 Rh 0.000 0.000 0.500
Rh3 Rh 0.500 0.000 0.000
Al1 Al 0.500 0.500 0.500
N1 N 0.000 0.000 0.000

***

# 13
# Fe2AgBr (GGA-PBEsol, relaxed)
# excess energy over the best structure of this formula in the dataset	0.188	eV/atom
# size of the total moment	5.9	μB/f.u.
# symmetry	I4/mmm
# E_form (uncorrected)	0.805	eV per atom
data_Fe2AgBr
_cell_length_a 3.881
_cell_length_b 3.881
_cell_length_c 4.956
_cell_angle_alpha 113.05
_cell_angle_beta 113.05
_cell_angle_gamma 90.00
_space_group_name_H-M_alt 'P 1'
_space_group_IT_number 1
_space_group_name_Hall 'P 1'
loop_
_atom_site_label
_atom_site_type_symbol
_atom_site_fract_x
_atom_site_fract_y
_atom_site_fract_z
Ag1 Ag 0.500 0.500 0.000
Br1 Br 0.000 0.000 0.000
Fe1 Fe 0.750 0.250 0.500
Fe2 Fe 0.250 0.750 0.500

***

# 14
# RbZr2As2 (GGA-PBEsol, relaxed)
# energy of formation from the pure elements	-0.3422	eV per atom
# size of the total moment	0.0	μB/f.u.
# symmetry	I4/mmm
data_RbZr2As2
_cell_length_a 5.121
_cell_length_b 5.121
_cell_length_c 6.212
_cell_angle_alpha 114.34
_cell_angle_beta 114.34
_cell_angle_gamma 90.00
_space_group_name_H-M_alt 'P 1'
_space_group_IT_number 1
_space_group_name_Hall 'P 1'
loop_
_atom_site_label
_atom_site_type_symbol
_atom_site_fract_x
_atom_site_fract_y
_atom_site_fract_z
As1 As 0.250 0.750 0.500
As2 As 0.750 0.250 0.500
Rb1 Rb 0.000 0.000 0.000
Zr1 Zr 0.330 0.330 0.660
Zr2 Zr 0.670 0.670 0.340

***

# 15
# BaBSb2I (GGA-PBEsol, relaxed)
# size of the total moment	1.6	μB/f.u.
# symmetry	P4/mmm
# E_form (uncorrected)	1.556	eV per atom
data_BaBSb2I
_cell_length_a 6.409
_cell_length_b 6.340
_cell_length_c 6.340
_cell_angle_alpha 90.00
_cell_angle_beta 90.00
_cell_angle_gamma 90.00
_space_group_name_H-M_alt 'P 1'
_space_group_IT_number 1
_space_group_name_Hall 'P 1'
loop_
_atom_site_label
_atom_site_type_symbol
_atom_site_fract_x
_atom_site_fract_y
_atom_site_fract_z
I1 I 0.500 0.000 0.000
Sb1 Sb 0.000 0.000 0.500
Sb2 Sb 0.000 0.500 0.000
B1 B 0.500 0.500 0.500
Ba1 Ba 0.000 0.000 0.000

***

# 16
# BaCuF4 (GGA-PBEsol, relaxed)
# size of the total moment	1.0	μB/f.u.
# symmetry	Cmc2_1
# E_form (uncorrected)	-2.705	eV per atom
data_BaCuF4
_cell_length_a 4.287
_cell_length_b 5.651
_cell_length_c 7.365
_cell_angle_alpha 90.00
_cell_angle_beta 106.92
_cell_angle_gamma 90.00
_space_group_name_H-M_alt 'P 1'
_space_group_IT_number 1
_space_group_name_Hall 'P 1'
loop_
_atom_site_label
_atom_site_type_symbol
_atom_site_fract_x
_atom_site_fract_y
_atom_site_fract_z
Ba1 Ba 0.140 0.499 0.279
Ba2 Ba 0.860 0.999 0.721
Cu1 Cu 0.408 0.530 0.817
Cu2 Cu 0.592 0.030 0.183
F1 F 0.922 0.531 0.844
F2 F 0.078 0.031 0.156
F3 F 0.326 0.257 0.652
F4 F 0.674 0.757 0.348
F5 F 0.521 0.334 0.043
F6 F 0.479 0.834 0.957
F7 F 0.699 0.243 0.399
F8 F 0.301 0.743 0.601

***

# 17
# Hf2MgReAg (GGA-PBEsol, relaxed)
# energy of formation from the pure elements	1.6777	eV per atom
# size of the total moment	0.0	μB/f.u.
# symmetry	P4/mmm
data_Hf2MgReAg
_cell_length_a 4.259
_cell_length_b 4.894
_cell_length_c 4.894
_cell_angle_alpha 90.00
_cell_angle_beta 90.00
_cell_angle_gamma 90.00
_space_group_name_H-M_alt 'P 1'
_space_group_IT_number 1
_space_group_name_Hall 'P 1'
loop_
_atom_site_label
_atom_site_type_symbol
_atom_site_fract_x
_atom_site_fract_y
_atom_site_fract_z
Re1 Re 0.500 0.500 0.500
Mg1 Mg 0.000 0.000 0.000
Hf1 Hf 0.000 0.000 0.500
Hf2 Hf 0.000 0.500 0.000
Ag1 Ag 0.500 0.000 0.000

***

# 18
# SmYCo17 (GGA-PBEsol, relaxed)
# energy of formation from the pure elements	-0.0742	eV per atom
# size of the total moment	24.7	μB/f.u.
# symmetry	R3m
data_SmYCo17
_cell_length_a 6.173
_cell_length_b 6.173
_cell_length_c 6.173
_cell_angle_alpha 83.05
_cell_angle_beta 83.05
_cell_angle_gamma 83.05
_space_group_name_H-M_alt 'P 1'
_space_group_IT_number 1
_space_group_name_Hall 'P 1'
loop_
_atom_site_label
_atom_site_type_symbol
_atom_site_fract_x
_atom_site_fract_y
_atom_site_fract_z
Sm1 Sm 0.345 0.345 0.345
Y1 Y 0.656 0.656 0.656
Co1 Co 0.346 0.851 0.346
Co2 Co 0.346 0.346 0.851
Co3 Co 0.851 0.346 0.346
Co4 Co 0.655 0.149 0.655
Co5 Co 0.655 0.655 0.149
Co6 Co 0.149 0.655 0.655
Co7 Co 0.288 0.000 0.712
Co8 Co 0.712 0.288 0.000
Co9 Co 0.000 0.712 0.288
Co10 Co 0.288 0.712 0.000
Co11 Co 0.000 0.288 0.712
Co12 Co 0.712 0.000 0.288
Co13 Co 0.999 0.500 0.999
Co14 Co 0.999 0.999 0.500
Co15 Co 0.500 0.999 0.999
Co16 Co 0.903 0.903 0.903
Co17 Co 0.096 0.096 0.096

***

# 19
# CuSbIN2 (GGA-PBEsol, relaxed)
# size of the total moment	2.2	μB/f.u.
# symmetry	P4/mmm
# E_form (uncorrected)	1.650	eV per atom
data_CuSbIN2
_cell_length_a 4.127
_cell_length_b 4.127
_cell_length_c 5.030
_cell_angle_alpha 90.00
_cell_angle_beta 90.00
_cell_angle_gamma 90.00
_space_group_name_H-M_alt 'P 1'
_space_group_IT_number 1
_space_group_name_Hall 'P 1'
loop_
_atom_site_label
_atom_site_type_symbol
_atom_site_fract_x
_atom_site_fract_y
_atom_site_fract_z
I1 I 0.000 0.000 0.500
Sb1 Sb 0.500 0.500 0.500
Cu1 Cu 0.000 0.000 0.000
N1 N 0.000 0.500 0.000
N2 N 0.500 0.000 0.000

***

# 20
# Be3BrF (GGA-PBEsol, relaxed)
# size of the total moment	0.0	μB/f.u.
# symmetry	Pm-3m
# E_form (uncorrected)	0.619	eV per atom
data_Be3BrF
_cell_length_a 4.086
_cell_length_b 4.086
_cell_length_c 4.086
_cell_angle_alpha 90.00
_cell_angle_beta 90.00
_cell_angle_gamma 90.00
_space_group_name_H-M_alt 'P 1'
_space_group_IT_number 1
_space_group_name_Hall 'P 1'
loop_
_atom_site_label
_atom_site_type_symbol
_atom_site_fract_x
_atom_site_fract_y
_atom_site_fract_z
Be1 Be 0.000 0.500 0.000
Be2 Be 0.000 0.000 0.500
Be3 Be 0.500 0.000 0.000
Br1 Br 0.500 0.500 0.500
F1 F 0.000 0.000 0.000